(1)
{"formula": "BeInP2", "functional": "GGA-PBE", "state": "optimized geometry", "delta_e_f_ev_per_atom": 0.71, "lattice": [[-0.799, -3.309, -0.543], [4.222, -1.026, 0.039], [-0.202, -0.664, 4.341]], "species": ["P", "P", "Be", "In"], "frac_coords": [[0.000, 0.000, 0.000], [0.500, 0.500, 0.000], [0.500, 0.000, 0.500], [0.000, 0.500, 0.500]]}

***

(2)
{"formula": "RbSc3S", "functional": "GGA-PBE", "state": "optimized geometry", "de_polymorph_ev_per_fu": 8.40, "e_form_raw_ev_per_fu": 8.02, "lattice": [[5.069, 0.000, 0.000], [0.000, 5.069, 0.000], [0.000, 0.000, 5.069]], "species": ["Sc", "Sc", "Sc", "S", "Rb"], "frac_coords": [[0.000, 0.500, 0.000], [0.000, 0.000, 0.500], [0.500, 0.000, 0.000], [0.500, 0.500, 0.500], [0.000, 0.000, 0.000]]}

***

(3)
{"formula": "CaHgIr2", "functional": "GGA-PBE", "state": "optimized geometry", "delta_e_f_ev_per_atom": 0.41, "lattice": [[9.670, 0.001, 0.001], [9.200, 2.979, 0.001], [9.200, 1.453, 2.601]], "species": ["Ca", "Ir", "Ir", "Hg"], "frac_coords": [[0.506, 0.506, 0.506], [0.994, 0.994, 0.994], [0.256, 0.256, 0.256], [0.745, 0.745, 0.745]]}

***

(4)
{"formula": "ErTlPd6", "functional": "GGA-PBE", "state": "optimized geometry", "delta_e_f_ev_per_atom": -0.10, "de_polymorph_ev_per_fu": 3.61, "lattice": [[5.424, 0.537, 0.608], [-0.058, 5.451, 0.608], [-0.058, -0.065, 5.484]], "species": ["Er", "Tl", "Pd", "Pd", "Pd", "Pd", "Pd", "Pd"], "frac_coords": [[0.000, 0.000, 0.000], [0.500, 0.500, 0.500], [0.160, 0.532, 0.160], [0.160, 0.160, 0.532], [0.840, 0.468, 0.840], [0.468, 0.840, 0.840], [0.840, 0.840, 0.468], [0.532, 0.160, 0.160]]}

***

(5)
{"formula": "PaNbS3", "functional": "GGA-PBE", "state": "optimized geometry", "de_polymorph_ev_per_fu": 0.00, "e_form_raw_ev_per_fu": -6.83, "lattice": [[3.666, 0.000, 0.000], [0.000, 7.131, 0.871], [0.000, 0.056, 7.567]], "species": ["Pa", "Pa", "Nb", "Nb", "S", "S", "S", "S", "S", "S"], "frac_coords": [[0.183, 0.805, 0.979], [0.683, 0.056, 0.427], [0.183, 0.307, 0.829], [0.683, 0.553, 0.577], [0.683, 0.058, 0.808], [0.183, 0.802, 0.599], [0.683, 0.729, 0.256], [0.683, 0.521, 0.909], [0.183, 0.131, 0.150], [0.183, 0.339, 0.498]]}

***

(6)
{"formula": "RbNaCr2", "functional": "GGA-PBE", "state": "optimized geometry", "delta_e_f_ev_per_atom": 1.31, "de_polymorph_ev_per_fu": 0.05, "lattice": [[-4.640, -3.356, 7.359], [7.021, -5.884, 1.743], [2.562, -2.432, 6.413]], "species": ["Cr", "Cr", "Cr", "Cr", "Rb", "Rb", "Na", "Na"], "frac_coords": [[0.600, 0.125, 0.250], [0.150, 0.625, 0.250], [0.375, 0.400, 0.750], [0.875, 0.850, 0.750], [0.000, 0.000, 0.000], [0.750, 0.250, 0.500], [0.500, 0.500, 0.000], [0.250, 0.750, 0.500]]}

***

(7)
{"formula": "Sm2Mg2Cd15", "functional": "GGA-PBE", "state": "optimized geometry", "delta_e_f_ev_per_atom": -0.15, "lattice": [[-7.280, -1.754, 1.649], [-2.607, -0.743, -7.173], [0.544, -7.626, -0.586]], "species": ["Sm", "Sm", "Mg", "Mg", "Cd", "Cd", "Cd", "Cd", "Cd", "Cd", "Cd", "Cd", "Cd", "Cd", "Cd", "Cd", "Cd", "Cd", "Cd"], "frac_coords": [[0.333, 0.333, 0.333], [0.667, 0.667, 0.667], [0.102, 0.102, 0.102], [0.898, 0.898, 0.898], [0.500, 0.000, 0.000], [0.000, 0.000, 0.500], [0.000, 0.500, 0.000], [0.000, 0.704, 0.296], [0.704, 0.296, 0.000], [0.296, 0.000, 0.704], [0.296, 0.704, 0.000], [0.704, 0.000, 0.296], [0.000, 0.296, 0.704], [0.157, 0.638, 0.638], [0.638, 0.638, 0.157], [0.638, 0.157, 0.638], [0.843, 0.362, 0.362], [0.362, 0.362, 0.843], [0.362, 0.843, 0.362]]}

***

(8)
{"formula": "LiAgBi", "functional": "GGA-PBE", "state": "optimized geometry", "delta_e_f_ev_per_atom": -0.17, "de_polymorph_ev_per_fu": 0.18, "lattice": [[-1.114, -0.797, 3.155], [-3.442, -2.825, -1.930], [4.353, -1.863, 1.067]], "species": ["Bi", "Ag", "Li"], "frac_coords": [[0.111, 0.000, 0.000], [0.256, 0.333, 0.667], [0.633, 0.667, 0.333]]}

***

(9)
{"formula": "Nd3Zn2Ni3", "functional": "GGA-PBE", "state": "optimized geometry", "delta_e_f_ev_per_atom": -0.31, "de_polymorph_ev_per_fu": 0.32, "lattice": [[-5.299, 0.236, 2.318], [-1.303, -7.200, -2.244], [5.397, -4.980, 12.845]], "species": ["Nd", "Nd", "Nd", "Nd", "Nd", "Nd", "Nd", "Nd", "Nd", "Nd", "Nd", "Nd", "Zn", "Zn", "Zn", "Zn", "Zn", "Zn", "Zn", "Zn", "Ni", "Ni", "Ni", "Ni", "Ni", "Ni", "Ni", "Ni", "Ni", "Ni", "Ni", "Ni"], "frac_coords": [[0.154, 0.452, 0.396], [0.654, 0.048, 0.604], [0.846, 0.548, 0.896], [0.346, 0.952, 0.104], [0.846, 0.548, 0.604], [0.346, 0.952, 0.396], [0.154, 0.452, 0.104], [0.654, 0.048, 0.896], [0.618, 0.313, 0.250], [0.118, 0.187, 0.750], [0.382, 0.687, 0.750], [0.882, 0.813, 0.250], [0.858, 0.107, 0.401], [0.358, 0.393, 0.599], [0.142, 0.893, 0.901], [0.642, 0.607, 0.099], [0.142, 0.893, 0.599], [0.642, 0.607, 0.401], [0.858, 0.107, 0.099], [0.358, 0.393, 0.901], [0.086, 0.168, 0.250], [0.586, 0.332, 0.750], [0.914, 0.832, 0.750], [0.414, 0.668, 0.250], [0.582, 0.311, 0.462], [0.082, 0.189, 0.538], [0.418, 0.689, 0.962], [0.918, 0.811, 0.038], [0.418, 0.689, 0.538], [0.918, 0.811, 0.462], [0.582, 0.311, 0.038], [0.082, 0.189, 0.962]]}

***

(10)
{"formula": "Cu2BrO", "functional": "GGA-PBE", "state": "optimized geometry", "de_polymorph_ev_per_fu": 0.00, "e_form_raw_ev_per_fu": -1.47, "lattice": [[5.028, 0.000, 0.000], [0.000, 5.028, 0.000], [2.514, 2.514, 5.244]], "species": ["O", "O", "Cu", "Cu", "Cu", "Cu", "Br", "Br"], "frac_coords": [[0.500, 0.500, 0.000], [0.250, 0.750, 0.500], [0.496, 0.125, 0.250], [0.254, 0.625, 0.250], [0.375, 0.504, 0.750], [0.875, 0.746, 0.750], [0.000, 0.000, 0.000], [0.750, 0.250, 0.500]]}

***

(11)
{"formula": "CsKNaNi2", "functional": "GGA-PBE", "state": "optimized geometry", "delta_e_f_ev_per_atom": 1.30, "lattice": [[5.556, 0.000, 0.000], [0.000, 6.207, 0.000], [0.000, 0.000, 5.556]], "species": ["Cs", "Ni", "Ni", "K", "Na"], "frac_coords": [[0.000, 0.500, 0.000], [0.000, 0.000, 0.500], [0.500, 0.000, 0.000], [0.000, 0.000, 0.000], [0.500, 0.500, 0.500]]}

***

(12)
{"formula": "MgMo2Pt", "functional": "GGA-PBE", "state": "optimized geometry", "delta_e_f_ev_per_atom": -0.02, "lattice": [[-2.350, 1.146, -0.776], [-2.092, -3.860, 0.636], [-0.985, 1.355, 4.984]], "species": ["Mg", "Mo", "Mo", "Pt"], "frac_coords": [[0.500, 0.500, 0.750], [0.000, 0.000, 0.995], [0.000, 0.000, 0.505], [0.500, 0.500, 0.250]]}

***

(13)
{"formula": "Mg14SnB", "functional": "GGA-PBE", "state": "optimized geometry", "delta_e_f_ev_per_atom": 0.16, "de_polymorph_ev_per_fu": 0.24, "lattice": [[-3.356, -2.556, 4.726], [1.112, -3.343, -5.265], [8.308, -3.524, 3.993]], "species": ["Mg", "Mg", "Mg", "Mg", "Mg", "Mg", "Mg", "Mg", "Mg", "Mg", "Mg", "Mg", "Mg", "Mg", "Sn", "B"], "frac_coords": [[0.005, 0.503, 0.000], [0.991, 0.496, 0.500], [0.497, 0.995, 0.000], [0.504, 0.009, 0.500], [0.497, 0.503, 0.000], [0.504, 0.496, 0.500], [0.161, 0.839, 0.268], [0.161, 0.839, 0.732], [0.161, 0.322, 0.268], [0.161, 0.322, 0.732], [0.678, 0.839, 0.268], [0.678, 0.839, 0.732], [0.667, 0.333, 0.248], [0.667, 0.333, 0.752], [0.000, 0.000, 0.000], [0.000, 0.000, 0.500]]}

***

(14)
{"formula": "Fe3TcP", "functional": "GGA-PBE", "state": "optimized geometry", "delta_e_f_ev_per_atom": 1.62, "de_polymorph_ev_per_fu": 5.17, "lattice": [[-0.283, 2.894, 3.386], [-4.076, 1.199, -1.366], [-1.796, -3.179, 2.567]], "species": ["P", "Tc", "Fe", "Fe", "Fe"], "frac_coords": [[0.500, 0.500, 0.500], [0.000, 0.000, 0.000], [0.000, 0.500, 0.000], [0.000, 0.000, 0.500], [0.500, 0.000, 0.000]]}

***

(15)
{"formula": "LaCe3Bi3", "functional": "GGA-PBE", "state": "optimized geometry", "delta_e_f_ev_per_atom": -0.73, "de_polymorph_ev_per_fu": 0.00, "lattice": [[9.753, 0.000, 0.000], [0.000, 9.753, 0.000], [0.000, 0.000, 9.753]], "species": ["La", "La", "La", "La", "Ce", "Ce", "Ce", "Ce", "Ce", "Ce", "Ce", "Ce", "Ce", "Ce", "Ce", "Ce", "Bi", "Bi", "Bi", "Bi", "Bi", "Bi", "Bi", "Bi", "Bi", "Bi", "Bi", "Bi"], "frac_coords": [[0.073, 0.573, 0.927], [0.927, 0.073, 0.573], [0.427, 0.427, 0.427], [0.573, 0.927, 0.073], [0.823, 0.323, 0.177], [0.925, 0.925, 0.925], [0.825, 0.675, 0.325], [0.177, 0.823, 0.323], [0.175, 0.175, 0.175], [0.325, 0.825, 0.675], [0.075, 0.425, 0.575], [0.323, 0.177, 0.823], [0.675, 0.325, 0.825], [0.677, 0.677, 0.677], [0.575, 0.075, 0.425], [0.425, 0.575, 0.075], [0.748, 0.624, 0.001], [0.876, 0.999, 0.248], [0.001, 0.748, 0.624], [0.124, 0.499, 0.252], [0.252, 0.124, 0.499], [0.248, 0.876, 0.999], [0.999, 0.248, 0.876], [0.376, 0.501, 0.752], [0.499, 0.252, 0.124], [0.624, 0.001, 0.748], [0.752, 0.376, 0.501], [0.501, 0.752, 0.376]]}

***

(16)
{"formula": "SmDyHo3Tm", "functional": "GGA-PBE", "state": "optimized geometry", "delta_e_f_ev_per_atom": 0.02, "lattice": [[-2.488, -1.452, -4.083], [7.742, -0.928, -1.329], [-0.496, -9.323, 3.618]], "species": ["Sm", "Sm", "Dy", "Dy", "Ho", "Ho", "Ho", "Ho", "Ho", "Ho", "Tm", "Tm"], "frac_coords": [[0.500, 0.999, 0.750], [0.500, 0.001, 0.250], [0.000, 0.000, 0.500], [0.000, 0.000, 0.000], [0.667, 0.334, 0.500], [0.333, 0.666, 0.500], [0.333, 0.666, 0.000], [0.667, 0.334, 0.000], [0.168, 0.336, 0.750], [0.832, 0.664, 0.250], [0.832, 0.665, 0.750], [0.168, 0.335, 0.250]]}

***

(17)
{"formula": "RbCaGa2", "functional": "GGA-PBE", "state": "optimized geometry", "delta_e_f_ev_per_atom": 0.07, "de_polymorph_ev_per_fu": 0.00, "lattice": [[0.000, 3.939, 3.939], [3.939, 0.000, 3.939], [3.939, 3.939, 0.000]], "species": ["Ca", "Ga", "Ga", "Rb"], "frac_coords": [[0.000, 0.000, 0.000], [0.250, 0.250, 0.250], [0.750, 0.750, 0.750], [0.500, 0.500, 0.500]]}

***

(18)
{"formula": "ScRuPb2", "functional": "GGA-PBE", "state": "optimized geometry", "delta_e_f_ev_per_atom": 0.23, "de_polymorph_ev_per_fu": 1.40, "lattice": [[-3.523, -1.565, -6.926], [7.042, 0.223, -3.632], [2.106, -3.622, -4.789]], "species": ["Pb", "Pb", "Pb", "Pb", "Ru", "Ru", "Sc", "Sc"], "frac_coords": [[0.661, 0.125, 0.250], [0.089, 0.625, 0.250], [0.375, 0.339, 0.750], [0.875, 0.911, 0.750], [0.000, 0.000, 0.000], [0.750, 0.250, 0.500], [0.500, 0.500, 0.000], [0.250, 0.750, 0.500]]}

***

(19)
{"formula": "Y2TlHg", "functional": "GGA-PBE", "state": "optimized geometry", "delta_e_f_ev_per_atom": -0.15, "lattice": [[8.176, 0.000, 0.000], [0.000, 8.176, 0.000], [4.088, 4.088, 3.573]], "species": ["Y", "Y", "Y", "Y", "Tl", "Tl", "Hg", "Hg"], "frac_coords": [[0.613, 0.125, 0.250], [0.137, 0.625, 0.250], [0.375, 0.387, 0.750], [0.875, 0.863, 0.750], [0.000, 0.000, 0.000], [0.750, 0.250, 0.500], [0.500, 0.500, 0.000], [0.250, 0.750, 0.500]]}

***

(20)
{"formula": "NbAsPdBr2", "functional": "GGA-PBE", "state": "optimized geometry", "de_polymorph_ev_per_fu": 0.00, "e_form_raw_ev_per_fu": 1.69, "lattice": [[-5.026, 0.668, -0.716], [-0.436, -4.880, -1.491], [-0.869, -1.390, 4.804]], "species": ["As", "Nb", "Br", "Br", "Pd"], "frac_coords": [[0.000, 0.000, 0.500], [0.000, 0.000, 0.000], [0.000, 0.500, 0.000], [0.500, 0.000, 0.000], [0.500, 0.500, 0.500]]}

***

(21)
{"formula": "PmSbI", "functional": "GGA-PBE", "state": "optimized geometry", "de_polymorph_ev_per_fu": 0.00, "e_form_raw_ev_per_fu": -2.68, "lattice": [[-1.687, -4.384, 0.141], [4.601, 0.729, -0.577], [4.739, -1.437, 11.999]], "species": ["Pm", "Pm", "I", "I", "Sb", "Sb"], "frac_coords": [[0.197, 0.394, 0.307], [0.803, 0.606, 0.693], [0.601, 0.202, 0.154], [0.399, 0.798, 0.846], [0.818, 0.635, 0.434], [0.182, 0.365, 0.566]]}

***

(22)
{"formula": "NaAg2IO", "functional": "GGA-PBE", "state": "optimized geometry", "e_form_raw_ev_per_fu": -1.94, "lattice": [[3.824, 0.000, 0.000], [-1.912, 8.126, 0.000], [0.000, 0.000, 7.172]], "species": ["Na", "Na", "Ag", "Ag", "Ag", "Ag", "I", "I", "O", "O"], "frac_coords": [[0.490, 0.979, 0.750], [0.510, 0.021, 0.250], [0.129, 0.259, 0.955], [0.871, 0.741, 0.045], [0.129, 0.259, 0.545], [0.871, 0.741, 0.455], [0.745, 0.491, 0.750], [0.255, 0.509, 0.250], [0.000, 0.000, 0.000], [0.000, 0.000, 0.500]]}